Compound: TiZn2Hg
Source: Alexandria
Functional: PBE-GGA
Structure: relaxed

The structure in POSCAR format:
```
TiZn2Hg
1.0
2.9940 0.0000 0.0000
0.0000 2.9940 0.0000
0.0000 0.0000 7.7010
Ti Zn Hg
1 2 1
Direct
0.0000 0.0000 0.0000 Ti
0.5000 0.5000 0.2326 Zn
0.5000 0.5000 0.7674 Zn
0.0000 0.0000 0.5000 Hg
```

D(E_F): 2.116 states/eV per cell
E: -2.703 eV/atom
Space group: P4/mmm, No. 123
Magnetic moment: 0.0 μB/f.u.